(1)
GGA-PBEsol NaSi68, relaxed; magnetic moment = 0.00 Bohr magnetons per cell; E = -5.622 eV/atom; energy relative to the elements, uncorrected = 6.0 kJ per mole of atoms
1.0
5.179 2.990 16.920
-5.179 2.990 16.920
0.000 -5.981 16.920
Na Si
1 68
direct
0.000 0.000 0.000
0.061 0.685 0.685
0.070 0.070 0.676
0.070 0.676 0.070
0.079 0.079 0.079
0.112 0.112 0.480
0.112 0.480 0.112
0.117 0.493 0.887
0.117 0.887 0.493
0.125 0.125 0.125
0.176 0.570 0.570
0.184 0.184 0.561
0.184 0.561 0.184
0.190 0.190 0.814
0.190 0.814 0.190
0.199 0.805 0.805
0.250 0.250 0.250
0.258 0.488 0.882
0.258 0.882 0.488
0.263 0.263 0.895
0.263 0.895 0.263
0.296 0.296 0.296
0.305 0.305 0.699
0.305 0.699 0.305
0.314 0.690 0.690
0.381 0.758 0.988
0.381 0.988 0.758
0.387 0.618 0.993
0.387 0.993 0.618
0.394 0.764 0.764
0.480 0.112 0.112
0.488 0.258 0.882
0.488 0.882 0.258
0.493 0.117 0.887
0.493 0.887 0.117
0.561 0.184 0.184
0.570 0.176 0.570
0.570 0.570 0.176
0.579 0.579 0.579
0.612 0.612 0.981
0.612 0.981 0.612
0.618 0.387 0.993
0.618 0.993 0.387
0.625 0.625 0.625
0.676 0.070 0.070
0.685 0.061 0.685
0.685 0.685 0.061
0.690 0.314 0.690
0.690 0.690 0.314
0.699 0.305 0.305
0.750 0.750 0.750
0.758 0.381 0.988
0.758 0.988 0.381
0.764 0.394 0.764
0.764 0.764 0.394
0.796 0.796 0.796
0.805 0.199 0.805
0.805 0.805 0.199
0.814 0.190 0.190
0.882 0.258 0.488
0.882 0.488 0.258
0.887 0.117 0.493
0.887 0.493 0.117
0.895 0.263 0.263
0.981 0.612 0.612
0.988 0.381 0.758
0.988 0.758 0.381
0.993 0.387 0.618
0.993 0.618 0.387

=====

(2)
GGA-PBEsol Na3Si17, relaxed; magnetic moment = 0.00 Bohr magnetons per cell; E = -5.122 eV/atom; energy relative to the elements, uncorrected = -2.6 kJ per mole of atoms
1.0
0.000 7.346 7.346
7.346 0.000 7.346
7.346 7.346 0.000
Na Si
6 34
direct
0.000 0.000 0.000
0.000 0.000 0.500
0.000 0.500 0.000
0.375 0.375 0.375
0.500 0.000 0.000
0.625 0.625 0.625
0.006 0.236 0.629
0.006 0.629 0.236
0.006 0.629 0.629
0.125 0.125 0.125
0.154 0.782 0.782
0.218 0.218 0.218
0.218 0.218 0.846
0.218 0.846 0.218
0.236 0.006 0.629
0.236 0.629 0.006
0.236 0.629 0.629
0.371 0.371 0.764
0.371 0.371 0.994
0.371 0.764 0.371
0.371 0.764 0.994
0.371 0.994 0.371
0.371 0.994 0.764
0.629 0.006 0.236
0.629 0.006 0.629
0.629 0.236 0.006
0.629 0.236 0.629
0.629 0.629 0.006
0.629 0.629 0.236
0.764 0.371 0.371
0.764 0.371 0.994
0.764 0.994 0.371
0.782 0.154 0.782
0.782 0.782 0.154
0.782 0.782 0.782
0.846 0.218 0.218
0.875 0.875 0.875
0.994 0.371 0.371
0.994 0.371 0.764
0.994 0.764 0.371

=====

(3)
GGA-PBEsol Na2SrSi2, relaxed; magnetic moment = 0.00 Bohr magnetons per cell; E = -3.367 eV/atom; energy relative to the elements, uncorrected = -13.6 kJ per mole of atoms
1.0
-2.230 2.230 6.452
2.230 -2.230 6.452
2.230 2.230 -6.452
Na Sr Si
2 1 2
direct
0.250 0.750 0.500
0.750 0.250 0.500
0.000 0.000 0.000
0.412 0.412 0.000
0.588 0.588 0.000

=====

(4)
GGA-PBEsol NaTaSi3, relaxed; magnetic moment = 0.00 Bohr magnetons per cell; E = -5.888 eV/atom; energy relative to the elements, uncorrected = 33.8 kJ per mole of atoms
1.0
4.878 0.000 0.000
0.000 4.878 0.000
0.000 0.000 4.878
Na Ta Si
1 1 3
direct
0.000 0.000 0.000
0.500 0.500 0.500
0.000 0.500 0.500
0.500 0.000 0.500
0.500 0.500 0.000

=====

(5)
GGA-PBEsol Na3SiTe3, relaxed; magnetic moment = 0.00 Bohr magnetons per cell; E = -3.581 eV/atom; energy relative to the elements, uncorrected = -62.7 kJ per mole of atoms
1.0
8.713 0.000 0.000
0.000 12.600 0.000
-4.392 0.000 7.709
Na Si Te
12 4 12
direct
0.005 0.151 0.489
0.005 0.349 0.989
0.222 0.058 0.197
0.222 0.442 0.697
0.466 0.728 0.756
0.466 0.772 0.256
0.534 0.228 0.744
0.534 0.272 0.244
0.778 0.558 0.303
0.778 0.942 0.803
0.995 0.651 0.011
0.995 0.849 0.511
0.354 0.009 0.885
0.354 0.491 0.385
0.646 0.509 0.615
0.646 0.991 0.115
0.165 0.629 0.419
0.165 0.871 0.919
0.247 0.194 0.886
0.247 0.306 0.386
0.357 0.523 0.107
0.357 0.977 0.607
0.643 0.023 0.393
0.643 0.477 0.893
0.753 0.694 0.614
0.753 0.806 0.114
0.835 0.129 0.081
0.835 0.371 0.581

=====

(6)
GGA-PBEsol NaTiSi2, relaxed; magnetic moment = 0.24 Bohr magnetons per cell; E = -4.903 eV/atom; energy relative to the elements, uncorrected = 38.7 kJ per mole of atoms
1.0
-2.209 2.209 8.712
2.209 -2.209 8.712
2.209 2.209 -8.712
Na Ti Si
2 2 4
direct
0.000 0.000 0.000
0.750 0.250 0.500
0.250 0.750 0.500
0.500 0.500 0.000
0.245 0.625 0.120
0.375 0.495 0.620
0.505 0.125 0.880
0.875 0.755 0.380

=====

(7)
GGA-PBEsol NaSiW3, relaxed; magnetic moment = 0.00 Bohr magnetons per cell; E = -8.035 eV/atom; energy relative to the elements, uncorrected = 162.0 kJ per mole of atoms
1.0
4.550 0.000 0.000
0.000 4.550 0.000
0.000 0.000 4.550
Na Si W
1 1 3
direct
0.000 0.000 0.000
0.500 0.500 0.500
0.000 0.500 0.500
0.500 0.000 0.500
0.500 0.500 0.000

=====

(8)
GGA-PBEsol NaSi2W, relaxed; magnetic moment = 0.00 Bohr magnetons per cell; E = -6.144 eV/atom; energy relative to the elements, uncorrected = 51.2 kJ per mole of atoms
1.0
0.000 3.108 3.108
3.108 0.000 3.108
3.108 3.108 0.000
Na Si W
1 2 1
direct
0.000 0.000 0.000
0.250 0.250 0.250
0.750 0.750 0.750
0.500 0.500 0.500

=====

(9)
GGA-PBEsol NaYSi3, relaxed; magnetic moment = 0.00 Bohr magnetons per cell; E = -4.313 eV/atom; energy relative to the elements, uncorrected = 75.2 kJ per mole of atoms
1.0
5.280 0.000 0.000
0.000 5.280 0.000
0.000 0.000 5.280
Na Y Si
1 1 3
direct
0.000 0.000 0.000
0.500 0.500 0.500
0.000 0.500 0.500
0.500 0.000 0.500
0.500 0.500 0.000

=====

(10)
GGA-PBEsol NaY2Si2, relaxed; magnetic moment = 0.00 Bohr magnetons per cell; E = -5.416 eV/atom; energy relative to the elements, uncorrected = -10.5 kJ per mole of atoms
1.0
-2.444 2.444 5.563
2.444 -2.444 5.563
2.444 2.444 -5.563
Na Y Si
1 2 2
direct
0.000 0.000 0.000
0.250 0.750 0.500
0.750 0.250 0.500
0.392 0.392 0.000
0.608 0.608 0.000

=====

(11)
GGA-PBEsol Na2YSi, relaxed; magnetic moment = 0.00 Bohr magnetons per cell; E = -3.803 eV/atom; energy relative to the elements, uncorrected = 3.7 kJ per mole of atoms
1.0
-2.071 2.071 11.867
2.071 -2.071 11.867
2.071 2.071 -11.867
Na Y Si
4 2 2
direct
0.096 0.625 0.971
0.375 0.346 0.471
0.654 0.125 0.029
0.875 0.904 0.529
0.250 0.750 0.500
0.500 0.500 0.000
0.000 0.000 0.000
0.750 0.250 0.500

=====

(12)
GGA-PBEsol NaZn2Si2, relaxed; magnetic moment = 0.00 Bohr magnetons per cell; E = -3.253 eV/atom; energy relative to the elements, uncorrected = -4.0 kJ per mole of atoms
1.0
-2.050 2.050 5.158
2.050 -2.050 5.158
2.050 2.050 -5.158
Na Zn Si
1 2 2
direct
0.000 0.000 0.000
0.250 0.750 0.500
0.750 0.250 0.500
0.387 0.387 0.000
0.613 0.613 0.000

=====

(13)
GGA-PBEsol NaSmTe2, relaxed; magnetic moment = 0.00 Bohr magnetons per cell; E = -4.685 eV/atom; energy relative to the elements, uncorrected = -125.3 kJ per mole of atoms
1.0
2.215 1.279 7.447
-2.215 1.279 7.447
0.000 -2.557 7.447
Na Sm Te
1 1 2
direct
0.000 0.000 0.000
0.500 0.500 0.500
0.246 0.246 0.246
0.754 0.754 0.754

=====

(14)
GGA-PBEsol Na3Sn, relaxed; magnetic moment = 0.00 Bohr magnetons per cell; formation energy from the elements = -0.141 eV/atom; E = -2.256 eV/atom
1.0
-2.391 2.391 4.754
2.391 -2.391 4.754
2.391 2.391 -4.754
Na Sn
3 1
direct
0.000 0.000 0.000
0.250 0.750 0.500
0.750 0.250 0.500
0.500 0.500 0.000

=====

(15)
GGA-PBEsol Na5Sn2, relaxed; magnetic moment = 0.00 Bohr magnetons per cell; formation energy from the elements = -0.185 eV/atom; E = -2.402 eV/atom
1.0
2.691 1.554 7.412
-2.691 1.554 7.412
0.000 -3.107 7.412
Na Sn
5 2
direct
0.000 0.000 0.000
0.144 0.144 0.144
0.287 0.287 0.287
0.713 0.713 0.713
0.856 0.856 0.856
0.433 0.433 0.433
0.567 0.567 0.567

=====

(16)
GGA-PBEsol Na3Sn, relaxed; magnetic moment = 0.00 Bohr magnetons per cell; formation energy from the elements = -0.131 eV/atom; E = -2.245 eV/atom
1.0
0.000 3.787 3.787
3.787 0.000 3.787
3.787 3.787 0.000
Na Sn
3 1
direct
0.000 0.000 0.000
0.250 0.250 0.250
0.750 0.750 0.750
0.500 0.500 0.500

=====

(17)
GGA-PBEsol NaSn5, relaxed; magnetic moment = 0.00 Bohr magnetons per cell; formation energy from the elements = -0.084 eV/atom; E = -3.867 eV/atom
1.0
6.294 0.000 0.000
0.000 6.294 0.000
0.000 0.000 8.798
Na Sn
2 10
direct
0.000 0.500 0.204
0.500 0.000 0.796
0.000 0.000 0.000
0.158 0.342 0.816
0.249 0.749 0.501
0.251 0.249 0.499
0.342 0.842 0.184
0.500 0.500 0.000
0.658 0.158 0.184
0.749 0.751 0.499
0.751 0.251 0.501
0.842 0.658 0.816

=====

(18)
GGA-PBEsol NaSr2Sn2, relaxed; magnetic moment = 0.00 Bohr magnetons per cell; formation energy from the elements = -0.528 eV/atom; E = -3.248 eV/atom
1.0
8.490 0.000 0.000
0.000 8.490 0.000
0.000 0.000 4.663
Na Sr Sn
2 4 4
direct
0.000 0.000 0.000
0.500 0.500 0.000
0.172 0.328 0.500
0.328 0.828 0.500
0.672 0.172 0.500
0.828 0.672 0.500
0.121 0.621 0.000
0.379 0.121 0.000
0.621 0.879 0.000
0.879 0.379 0.000

=====

(19)
GGA-PBEsol NaSn2Te2, relaxed; magnetic moment = 0.00 Bohr magnetons per cell; E = -3.660 eV/atom; energy relative to the elements, uncorrected = -25.6 kJ per mole of atoms
1.0
-2.938 2.938 4.691
2.938 -2.938 4.691
2.938 2.938 -4.691
Na Sn Te
1 2 2
direct
0.000 0.000 0.000
0.343 0.343 0.000
0.657 0.657 0.000
0.250 0.750 0.500
0.750 0.250 0.500

=====

(20)
GGA-PBEsol NaTi3Sn, relaxed; magnetic moment = 0.98 Bohr magnetons per cell; formation energy from the elements = 1.284 eV/atom; E = -4.841 eV/atom
1.0
4.626 0.000 0.000
0.000 4.626 0.000
0.000 0.000 4.626
Na Ti Sn
1 3 1
direct
0.000 0.000 0.000
0.000 0.000 0.500
0.000 0.500 0.000
0.500 0.000 0.000
0.500 0.500 0.500

=====

(21)
GGA-PBEsol Na3TiSn, relaxed; magnetic moment = 2.73 Bohr magnetons per cell; formation energy from the elements = 0.906 eV/atom; E = -2.450 eV/atom
1.0
5.685 0.000 0.000
0.000 5.685 0.000
0.000 0.000 5.685
Na Ti Sn
3 1 1
direct
0.000 0.000 0.500
0.000 0.500 0.000
0.500 0.000 0.000
0.500 0.500 0.500
0.000 0.000 0.000